This record from Alexandria describes crystalline Ge2MoPb3O9 at its relaxed geometry. The functional is GGA+U.

Final energy (eV/f.u.): -92.3
Space-group type: P-3m1 (164)
Calculated density (g/cm³): 8.9

abc: 5.582 5.582 6.938
angles: 90.00 90.00 120.00
Atoms (fractional coordinates):
Ge (0.333, 0.667, 0.169)
Ge (0.667, 0.333, 0.831)
Mo (0.000, 0.000, 0.500)
Pb (0.000, 0.000, 0.000)
Pb (0.333, 0.667, 0.691)
Pb (0.667, 0.333, 0.309)
O (0.000, 0.500, 0.000)
O (0.170, 0.341, 0.320)
O (0.170, 0.830, 0.320)
O (0.341, 0.170, 0.680)
O (0.500, 0.000, 0.000)
O (0.500, 0.500, 0.000)
O (0.659, 0.830, 0.320)
O (0.830, 0.170, 0.680)
O (0.830, 0.659, 0.680)